Compound: CuNi2Ru
Source: the Alexandria database
Functional: PBE
Structure: optimized geometry

Output
Distance to the lowest polymorph of the same formula   0.0708 eV per atom
Total magnetization   2.5 μB per formula unit
E_form   0.157 eV/atom
E_tot   -0.4466 Ry per atom
D(E_F)   4.86 states/eV/f.u.
V   12.08 A^3/atom

a = 4.4293 Å, b = 4.4293 Å, c = 4.4293 Å
α = 131.08°, β = 131.09°, γ = 71.68°
Fractional positions:
Ru1 0.7500 0.2500 0.5000
Ni1 0.0000 0.0000 0.0000
Ni2 0.5000 0.5000 0.0000
Cu1 0.2500 0.7500 0.5000

Compound: ZnFeW
Source: the Alexandria database
Functional: PBE
Structure: optimized geometry

Output
Distance to the lowest polymorph of the same formula   0.0000 eV per atom
Total magnetization   0.2 μB per formula unit
E_form   0.146 eV/atom
E_tot   -0.5452 Ry per atom
D(E_F)   2.52 states/eV/f.u.
V   13.66 A^3/atom

a = 5.0860 Å, b = 2.7338 Å, c = 18.8017 Å
α = 128.96°, β = 156.09°, γ = 57.22°
Fractional positions:
Fe1 0.5913 0.9445 0.7800
Zn1 0.3907 0.0348 0.5469
W1 0.5615 0.0394 0.1042
W2 0.4385 0.9606 0.8958
Zn2 0.6093 0.9652 0.4531
Fe2 0.4087 0.0555 0.2200

- E_tot of number 2 (ZnFeW)?
  -0.5452 Ry per atom

- Which value of total magnetization does entry 2 give?
  0.2 μB per formula unit

- What is the formula in the first record?
  CuNi2Ru